Record 1
First-principles (GGA-PBE) data for a relaxed structure of PuNiAu, as listed in Alexandria via LeMat-Bulk.

```
PuNiAu
1.0
4.4858 0.0000 0.0000
2.2429 3.8848 0.0000
2.2429 1.2949 3.6626
Au Ni Pu
1 1 1
direct
0.5000 0.5000 0.5000
0.2500 0.2500 0.2500
0.0000 0.0000 0.0000
```

Calculated values
Space-group type: F-43m (216)
Energy relative to the elements (eV/atom): -0.1339

=====

Record 2
First-principles (GGA-PBE) data for a relaxed structure of Eu2Be2SiO7, as listed in Alexandria via LeMat-Bulk.

```
Eu2Be2SiO7
1.0
7.4538 0.0000 0.0000
0.0000 7.4538 0.0000
0.0000 0.0000 4.9112
O Si Be Eu
14 2 4 4
direct
0.5000 0.0000 0.1707
0.1647 0.9211 0.1897
0.4211 0.6647 0.1897
0.1400 0.3600 0.2867
0.3600 0.8600 0.7133
0.8353 0.0789 0.1897
0.8600 0.6400 0.2867
0.9211 0.8353 0.8103
0.0789 0.1647 0.8103
0.6400 0.1400 0.7133
0.0000 0.5000 0.8293
0.5789 0.3353 0.1897
0.3353 0.4211 0.8103
0.6647 0.5789 0.8103
0.5000 0.5000 0.0000
0.0000 0.0000 0.0000
0.3629 0.8629 0.0410
0.6371 0.1371 0.0410
0.8629 0.6371 0.9590
0.1371 0.3629 0.9590
0.6609 0.8391 0.5021
0.8391 0.3391 0.4979
0.3391 0.1609 0.5021
0.1609 0.6609 0.4979
```

Calculated values
Space-group type: P-42_1m (113)
E_form (uncorrected) (kJ per mole of atoms): -271.1

=====

Record 3
First-principles (GGA-PBE) data for a relaxed structure of CdBPt6, as listed in Alexandria via LeMat-Bulk.

```
CdBPt6
1.0
-1.7637 -4.8387 -2.1196
2.3808 -4.7737 1.6000
-3.1676 -3.6243 3.5929
Pt Cd B
6 1 1
direct
0.5722 0.0933 0.2413
0.0933 0.5722 0.2413
0.9067 0.9067 0.7587
0.9067 0.4278 0.7587
0.0933 0.0933 0.2413
0.4278 0.9067 0.7587
0.5000 0.5000 0.5000
0.0000 0.0000 0.0000
```

Calculated values
Space-group type: R-3m (166)
Energy relative to the elements (eV/atom): -0.0724

=====

Record 4
First-principles (GGA-PBE) data for a relaxed structure of LiErGe2, as listed in Alexandria via LeMat-Bulk.

```
LiErGe2
1.0
-3.6356 1.9028 0.4077
-1.5494 -3.4079 2.0891
1.3009 1.6886 3.7195
Er Ge Li
1 2 1
direct
0.5000 0.0000 0.0000
0.0000 0.0000 0.5000
0.0000 0.5000 0.0000
0.5000 0.5000 0.5000
```

Calculated values
Space-group type: P4/mmm (123)
Energy relative to the elements (eV/atom): -0.5431

=====

Record 5
First-principles (GGA-PBE) data for a relaxed structure of BeH3N, as listed in Alexandria via LeMat-Bulk.

```
BeH3N
1.0
3.0057 0.0000 0.0000
0.0000 3.0057 0.0000
0.0000 0.0000 3.0057
H N Be
3 1 1
direct
0.0000 0.5000 0.0000
0.5000 0.0000 0.0000
0.0000 0.0000 0.5000
0.5000 0.5000 0.5000
0.0000 0.0000 0.0000
```

Calculated values
Space-group type: Pm-3m (221)
VASP energy (eV/cell): -14.70

=====

Record 6
First-principles (GGA-PBE) data for a relaxed structure of DyPaIrRh, as listed in Alexandria via LeMat-Bulk.

```
DyPaIrRh
1.0
4.8761 0.0000 0.0000
2.4380 4.2228 0.0000
2.4380 1.4076 3.9813
Dy Rh Pa Ir
1 1 1 1
direct
0.2500 0.2500 0.2500
0.5000 0.5000 0.5000
0.7500 0.7500 0.7500
0.0000 0.0000 0.0000
```

Calculated values
Space-group type: F-43m (216)
Energy relative to the elements (eV/atom): -0.7103

=====

Record 7
First-principles (GGA-PBE) data for a relaxed structure of Hf2Be2ZnCo5, as listed in Alexandria via LeMat-Bulk.

```
Hf2Be2ZnCo5
1.0
3.1270 0.0000 0.0000
0.0000 8.7582 0.0000
0.0000 0.0000 8.7582
Be Hf Co Zn
4 4 10 2
direct
0.0000 0.8816 0.3816
0.0000 0.1184 0.6184
0.0000 0.6184 0.8816
0.0000 0.3816 0.1184
0.0000 0.1778 0.3222
0.0000 0.3222 0.8222
0.0000 0.6778 0.1778
0.0000 0.8222 0.6778
0.5000 0.4333 0.2840
0.5000 0.9333 0.2160
0.5000 0.0667 0.7840
0.5000 0.2840 0.5667
0.5000 0.0000 0.5000
0.5000 0.7160 0.4333
0.5000 0.5667 0.7160
0.5000 0.7840 0.9333
0.5000 0.2160 0.0667
0.5000 0.5000 0.0000
0.0000 0.5000 0.5000
0.0000 0.0000 0.0000
```

Calculated values
Space-group type: P4/mbm (127)
Energy relative to the elements (eV/atom): -0.3566

=====

Record 8
First-principles (GGA-PBE) data for a relaxed structure of Tl3RhCl8, as listed in Alexandria via LeMat-Bulk.

```
Tl3RhCl8
1.0
-3.4171 -2.2511 -5.7787
5.9106 0.8153 -3.8127
0.5791 -5.7626 6.2405
Cl Rh Tl
8 1 3
direct
0.3177 0.3177 0.2156
0.6823 0.6823 0.7844
0.8980 0.3177 0.2156
0.6823 0.1020 0.7844
0.1020 0.6823 0.7844
0.3177 0.8980 0.2156
0.1020 0.1020 0.7844
0.8980 0.8980 0.2156
0.0000 0.0000 0.0000
0.5000 0.5000 0.0000
0.2500 0.7500 0.5000
0.7500 0.2500 0.5000
```

Calculated values
Space-group type: I4/mmm (139)
E_form (uncorrected) (kJ per mole of atoms): -42.3

=====

Record 9
First-principles (GGA-PBE) data for a relaxed structure of NbTlSe2N, as listed in Alexandria via LeMat-Bulk.

```
NbTlSe2N
1.0
5.4510 0.0000 0.0000
0.0000 5.4510 0.0000
0.0000 0.0000 4.0631
Se Tl Nb N
2 1 1 1
direct
0.5000 0.0000 0.0000
0.0000 0.5000 0.0000
0.0000 0.0000 0.0000
0.5000 0.5000 0.5000
0.0000 0.0000 0.5000
```

Calculated values
Space-group type: P4/mmm (123)
E_form (uncorrected) (kJ per mole of atoms): 138.5

=====

Record 10
First-principles (GGA-PBE) data for a relaxed structure of MgBeAs2O6, as listed in Alexandria via LeMat-Bulk.

```
MgBeAs2O6
1.0
5.5427 0.0356 0.0369
1.8118 6.7703 -0.2079
1.8118 -0.4587 6.7579
O Be As Mg
12 2 4 2
direct
0.0235 0.6867 0.5990
0.8381 0.0275 0.1950
0.6619 0.8050 0.9725
0.4765 0.4010 0.3133
0.5235 0.5990 0.6867
0.0498 0.6653 0.1409
0.9765 0.3133 0.4010
0.3381 0.1950 0.0275
0.9502 0.3347 0.8591
0.5498 0.1409 0.6653
0.1619 0.9725 0.8050
0.4502 0.8591 0.3347
0.2500 0.1809 0.8191
0.7500 0.8191 0.1809
0.3083 0.7838 0.5831
0.1917 0.4169 0.2162
0.6917 0.2162 0.4169
0.8083 0.5831 0.7838
0.7500 0.1031 0.8969
0.2500 0.8969 0.1031
```

Calculated values
Space-group type: C2/c (15)
E_form (uncorrected) (kJ per mole of atoms): -151.8

=====

Record 11
First-principles (GGA-PBE) data for a relaxed structure of ZnAgBr2, as listed in Alexandria via LeMat-Bulk.

```
ZnAgBr2
1.0
-0.3772 4.0212 0.8329
-1.0529 2.6225 -3.0034
-6.9152 1.2606 0.7584
Zn Br Ag
1 2 1
direct
0.2500 0.2500 0.2500
0.9996 0.9996 0.9992
0.5004 0.5004 0.5008
0.7500 0.7500 0.7500
```

Calculated values
Space-group type: C2/m (12)
E_form (uncorrected) (kJ per mole of atoms): -19.1

=====

Record 12
First-principles (GGA-PBE) data for a relaxed structure of CaLaPO2, as listed in Alexandria via LeMat-Bulk.

```
CaLaPO2
1.0
4.4122 0.0000 0.0000
0.0000 4.4122 0.0000
0.0000 0.0000 5.9081
La O Ca P
1 2 1 1
direct
0.0000 0.0000 0.0000
0.0000 0.5000 0.0000
0.5000 0.0000 0.0000
0.5000 0.5000 0.5000
0.0000 0.0000 0.5000
```

Calculated values
Space-group type: P4/mmm (123)
E_form (uncorrected) (kJ per mole of atoms): -139.8

=====

Record 13
First-principles (GGA-PBE) data for a relaxed structure of AcThZnRu, as listed in Alexandria via LeMat-Bulk.

```
AcThZnRu
1.0
-4.9893 -0.0956 -1.5259
-1.9580 -4.2806 -2.2524
-3.4570 -2.9493 2.5654
Ac Zn Th Ru
1 1 1 1
direct
0.7500 0.7500 0.7500
0.5000 0.5000 0.5000
0.2500 0.2500 0.2500
0.0000 0.0000 0.0000
```

Calculated values
Space-group type: F-43m (216)
Energy relative to the elements (eV/atom): -0.1331

=====

Record 14
First-principles (GGA-PBE) data for a relaxed structure of Sr4MgU3As8, as listed in Alexandria via LeMat-Bulk.

```
Sr4MgU3As8
1.0
-5.7540 -5.0978 3.5464
-0.8819 -4.1993 -7.4673
7.6880 0.7617 3.4634
As Mg Sr U
8 1 4 3
direct
0.2693 0.2869 0.0281
0.7587 0.2869 0.5175
0.7307 0.7131 0.9719
0.7386 0.7158 0.4771
0.2412 0.7131 0.9719
0.7588 0.2869 0.0281
0.2614 0.2842 0.5229
0.2413 0.7131 0.4825
0.0000 0.5000 0.0000
0.0000 0.0000 0.0000
0.0000 0.0000 0.5000
0.5000 0.0000 0.5000
0.5000 0.0000 0.0000
0.5000 0.5000 0.5000
0.0000 0.5000 0.5000
0.5000 0.5000 0.0000
```

Calculated values
Space-group type: R-3m (166)
Energy relative to the elements (eV/atom): -0.9035

=====

Record 15
First-principles (GGA-PBE) data for a relaxed structure of Ce3Ga3Rh, as listed in Alexandria via LeMat-Bulk.

```
Ce3Ga3Rh
1.0
3.5535 0.0000 0.0000
-1.7768 5.7321 0.0000
0.0000 0.0000 15.0062
Rh Ga Ce
2 6 6
direct
0.5000 0.0000 0.0000
0.5000 0.0000 0.5000
0.0978 0.1957 0.1035
0.2283 0.4566 0.2500
0.7717 0.5434 0.7500
0.0978 0.1957 0.3965
0.9022 0.8043 0.6035
0.9022 0.8043 0.8965
0.8237 0.6474 0.0904
0.5080 0.0161 0.7500
0.4920 0.9839 0.2500
0.1763 0.3526 0.5904
0.8237 0.6474 0.4096
0.1763 0.3526 0.9096
```

Calculated values
Space-group type: Cmcm (63)
Energy relative to the elements (eV/atom): -0.5974

=====

Record 16
First-principles (GGA-PBE) data for a relaxed structure of CdHgMo, as listed in Alexandria via LeMat-Bulk.

```
CdHgMo
1.0
7.4860 -0.0224 0.0193
6.8162 2.7777 -0.0282
0.6698 -0.4586 2.7627
Hg Mo Cd
1 1 1
direct
0.3269 0.3269 0.6731
0.6660 0.6660 0.3340
0.0070 0.0070 0.9930
```

Calculated values
Space-group type: Fmm2 (42)
Energy relative to the elements (eV/atom): 0.4794

=====

Record 17
First-principles (GGA-PBE) data for a relaxed structure of TiVSb2, as listed in Alexandria via LeMat-Bulk.

```
TiVSb2
1.0
6.2278 0.0000 0.0000
0.0000 6.2278 0.0000
3.1139 3.1139 6.3060
Ti Sb V
2 4 2
direct
0.2500 0.7500 0.5000
0.5000 0.5000 0.0000
0.6273 0.1250 0.2500
0.3750 0.3727 0.7500
0.1227 0.6250 0.2500
0.8750 0.8773 0.7500
0.7500 0.2500 0.5000
0.0000 0.0000 0.0000
```

Calculated values
Space-group type: I-42d (122)
E_form (uncorrected) (kJ per mole of atoms): 40.4

=====

Record 18
First-principles (GGA-PBE) data for a relaxed structure of LiLaRu2, as listed in Alexandria via LeMat-Bulk.

```
LiLaRu2
1.0
4.3869 0.0000 0.0000
0.0000 2.9749 -0.0007
0.0000 1.1426 5.3850
Ru Li La
2 1 1
direct
0.0000 0.8684 0.0328
0.5000 0.2591 0.1768
0.5000 0.8870 0.7814
0.0000 0.4855 0.5091
```

Calculated values
Space-group type: Pm (6)
Energy relative to the elements (eV/atom): 0.1749

=====

Record 19
First-principles (GGA-PBE) data for a relaxed structure of Li2MnFeGe, as listed in Alexandria via LeMat-Bulk.

```
Li2MnFeGe
1.0
-1.8938 -3.0465 2.5260
3.5881 -2.0140 0.2610
1.0411 2.3182 3.5764
Fe Mn Li Ge
1 1 2 1
direct
0.0000 0.0000 0.0000
0.0000 0.5000 0.0000
0.0000 0.0000 0.5000
0.5000 0.0000 0.0000
0.5000 0.5000 0.5000
```

Calculated values
Space-group type: P4/mmm (123)
Energy relative to the elements (eV/atom): 0.7847

=====

Record 20
First-principles (GGA-PBE) data for a relaxed structure of ZrHg4Cl, as listed in Alexandria via LeMat-Bulk.

```
ZrHg4Cl
1.0
0.0000 4.2116 4.2116
4.2116 0.0000 4.2116
4.2116 4.2116 0.0000
Hg Zr Cl
4 1 1
direct
0.3753 0.3753 0.8740
0.3753 0.8740 0.3753
0.3753 0.3753 0.3753
0.8740 0.3753 0.3753
0.7500 0.7500 0.7500
0.0000 0.0000 0.0000
```

Calculated values
Space-group type: F-43m (216)
E_form (uncorrected) (kJ per mole of atoms): 19.7

=====

Record 21
First-principles (GGA-PBE) data for a relaxed structure of RbBi3B, as listed in Alexandria via LeMat-Bulk.

```
RbBi3B
1.0
-4.0220 -3.4597 -3.1395
-1.6676 -2.8065 5.2292
-4.3640 4.2610 0.8951
Bi B Rb
3 1 1
direct
0.0000 0.5000 0.0000
0.5000 0.0000 0.0000
0.0000 0.0000 0.5000
0.5000 0.5000 0.5000
0.0000 0.0000 0.0000
```

Calculated values
Space-group type: Pm-3m (221)
Energy relative to the elements (eV/atom): 2.1813

=====

Record 22
First-principles (GGA-PBE) data for a relaxed structure of In2RuCl, as listed in Alexandria via LeMat-Bulk.

```
In2RuCl
1.0
8.0888 -0.0229 1.1182
7.4386 3.1774 1.1182
-0.4574 -0.0929 3.2362
In Ru Cl
2 1 1
direct
0.9673 0.9673 0.9975
0.1624 0.1624 0.0007
0.5642 0.5642 0.4992
0.8060 0.8060 0.0025
```

Calculated values
Space-group type: Cm (8)
E_form (uncorrected) (kJ per mole of atoms): -28.0

=====

Record 23
First-principles (GGA-PBE) data for a relaxed structure of TiGeH3, as listed in Alexandria via LeMat-Bulk.

```
TiGeH3
1.0
-3.4894 -0.7286 -0.2572
0.3587 -0.4736 -3.5243
0.6844 -3.4667 0.5355
H Ge Ti
3 1 1
direct
0.0000 0.5000 0.0000
0.5000 0.0000 0.0000
0.0000 0.0000 0.5000
0.0000 0.0000 0.0000
0.5000 0.5000 0.5000
```

Calculated values
Space-group type: Pm-3m (221)
VASP energy (eV/cell): -19.32

=====

Record 24
First-principles (GGA-PBE) data for a relaxed structure of Zr2RuSe, as listed in Alexandria via LeMat-Bulk.

```
Zr2RuSe
1.0
-1.5961 -4.2903 -1.1069
0.6914 -1.7257 -4.3271
3.0325 -3.5411 -0.6661
Zr Se Ru
2 1 1
direct
0.0000 0.0000 0.0000
0.2500 0.2500 0.2500
0.7500 0.7500 0.7500
0.5000 0.5000 0.5000
```

Calculated values
Space-group type: F-43m (216)
E_form (uncorrected) (kJ per mole of atoms): 2.8

=====

Record 25
First-principles (GGA-PBE) data for a relaxed structure of Pm3CoSb, as listed in Alexandria via LeMat-Bulk.

```
Pm3CoSb
1.0
-3.0063 -4.2517 -0.3569
3.3322 -2.0671 -3.4446
2.6646 -2.2119 3.9051
Pm Co Sb
3 1 1
direct
0.0000 0.0000 0.5000
0.0000 0.5000 0.0000
0.5000 0.0000 0.0000
0.0000 0.0000 0.0000
0.5000 0.5000 0.5000
```

Calculated values
Space-group type: Pm-3m (221)
E_form (uncorrected) (kJ per mole of atoms): -35.7